No. 1
Material: Nd2YEr4Mg
Method: DFT, PBE
State: relaxed

The structure in POSCAR format:
```
Nd2YEr4Mg
1.0
-1.793 2.728 -3.735
-0.835 -4.145 -2.627
-10.102 -4.803 1.343
Mg Er Nd Y
1 4 2 1
Cartesian
-1.314 -0.709 -3.181
-8.690 -3.276 -1.514
-2.720 -2.236 -0.327
-4.039 -2.944 -3.505
-10.010 -3.984 -4.692
-5.947 -1.038 -1.196
-10.102 -4.803 1.343
-5.468 -4.474 -0.642
```

DOS(E_F) ... 12.65 states/eV/f.u.
Total energy ... -0.327 Ry per atom
Formation enthalpy at 0 K ... 34 meV/atom


No. 2
Material: Tb5Pm3Ho2
Method: DFT, PBE
State: relaxed

The structure in POSCAR format:
```
Tb5Pm3Ho2
1.0
8.496 1.635 -3.976
0.297 8.574 -4.029
-1.809 -1.995 10.811
Ho Pm Tb
4 6 10
Cartesian
5.239 -0.120 4.848
4.164 2.697 -0.386
2.820 5.518 3.193
1.745 8.334 -2.042
0.526 6.884 5.559
5.915 4.739 -2.105
6.459 1.331 -2.753
-0.073 6.211 -0.502
1.070 3.476 4.911
7.058 2.004 3.308
6.074 5.096 2.087
0.910 3.118 0.719
1.951 0.260 5.863
3.575 2.153 2.825
7.535 2.624 0.079
-0.551 5.590 2.727
3.409 6.062 -0.018
5.034 7.954 -3.057
4.596 3.379 5.510
2.389 4.835 -2.704
```

DOS(E_F) ... 18.24 states/eV/f.u.
Relative energy among the computed polymorphs ... 0 meV/atom
Total energy ... -0.328 Ry per atom
Formation enthalpy at 0 K ... 193 meV/atom